[1]
Here is an optimized crystal structure of Sm2Dy2CBr3Cl2 from OQMD. Energies are from PBE-GGA.

Computed properties:
distance to the lowest polymorph of the same formula: 0.00 eV per formula unit
size of the total moment: 0.328 Bohr magnetons per cell
symmetry: C2/m (12)
calculated total energy: -52.00 eV/f.u.

```
Sm2Dy2CBr3Cl2
1.0
8.892 -1.901 0.000
8.892 1.901 0.000
-1.911 0.000 7.842
Sm Dy C Br Cl
2 2 1 3 2
Cartesian
2.387 0.000 0.636 Sm
13.485 0.000 7.206 Sm
8.497 0.000 1.589 Dy
7.375 0.000 6.252 Dy
0.000 0.000 0.000 C
-0.955 0.000 3.921 Br
5.544 0.000 1.425 Br
10.329 0.000 6.417 Br
4.852 0.000 5.185 Cl
11.020 0.000 2.656 Cl
```


[2]
Here is an optimized crystal structure of Sm2Dy2CBr2Cl3 from OQMD. Energies are from PBE-GGA.

Computed properties:
distance to the lowest polymorph of the same formula: 0.03 eV per formula unit
size of the total moment: 0.018 Bohr magnetons per cell
symmetry: C2/m (12)
calculated total energy: -52.66 eV/f.u.

```
Sm2Dy2CBr2Cl3
1.0
8.685 -1.912 0.000
8.685 1.912 0.000
-1.729 0.000 7.839
Sm Dy C Br Cl
2 2 1 2 3
Cartesian
-0.443 0.000 2.267 Sm
16.083 0.000 5.572 Sm
5.490 0.000 3.334 Dy
10.150 0.000 4.505 Dy
7.820 0.000 3.919 C
1.478 0.000 6.612 Br
14.162 0.000 1.227 Br
2.410 0.000 2.754 Cl
8.685 0.000 0.000 Cl
13.230 0.000 5.085 Cl
```


[3]
Here is an optimized crystal structure of Sm2Dy2CBr3Cl2 from OQMD. Energies are from PBE-GGA.

Computed properties:
distance to the lowest polymorph of the same formula: 0.01 eV per formula unit
size of the total moment: 0.094 Bohr magnetons per cell
symmetry: C2/m (12)
calculated total energy: -52.00 eV/f.u.

```
Sm2Dy2CBr3Cl2
1.0
8.662 -1.926 0.000
8.662 1.926 0.000
-1.892 0.000 8.098
Sm Dy C Br Cl
2 2 1 3 2
Cartesian
-0.512 0.000 2.407 Sm
15.945 0.000 5.691 Sm
5.396 0.000 3.445 Dy
10.037 0.000 4.653 Dy
7.717 0.000 4.049 C
1.378 0.000 6.752 Br
8.662 0.000 0.000 Br
14.056 0.000 1.345 Br
2.328 0.000 2.913 Cl
13.105 0.000 5.184 Cl
```